# 1
MnInAg2 PBE-GGA relaxed; DFT formation energy = 239 meV/atom; space-group type = No. 160
1.0
9.314 -0.031 -0.019
8.814 3.012 -0.019
8.814 1.449 2.640
In Mn Ag
1 1 2
Direct
0.498 0.498 0.498
0.747 0.747 0.747
0.003 0.003 0.003
0.252 0.252 0.252

=====

# 2
Mn2InAg PBE-GGA relaxed; DFT formation energy = 172 meV/atom; space-group type = No. 99
1.0
-0.406 -2.505 -1.878
2.706 0.671 -1.481
3.338 -3.819 4.371
Mn Ag In
2 1 1
Direct
0.500 0.500 0.220
0.000 0.000 0.039
0.000 0.000 0.472
0.500 0.500 0.769

=====

# 3
Mn2InAg PBE-GGA relaxed; DFT formation energy = 272 meV/atom; space-group type = No. 65
1.0
-5.627 0.715 3.275
0.543 -3.351 -3.482
-0.761 -2.169 1.972
In Mn Ag
1 2 1
Direct
0.500 0.500 0.000
0.000 0.000 0.000
0.500 0.000 0.500
0.000 0.500 0.500

=====

# 4
MnInAg2 PBE-GGA relaxed; DFT formation energy = 154 meV/atom; space-group type = No. 99
1.0
-1.456 2.610 1.398
-1.960 0.318 -2.635
-4.535 -4.074 2.881
Ag In Mn
2 1 1
Direct
0.000 0.000 0.986
0.500 0.500 0.238
0.000 0.000 0.511
0.500 0.500 0.764

=====

# 5
Mn3InAg PBE-GGA relaxed; DFT formation energy = 1039 meV/atom; polymorph energy (0 for the lowest one) = 0.00 eV per formula unit; space-group type = No. 221
1.0
-4.707 1.127 -0.905
-1.028 -0.445 4.795
1.016 4.772 0.661
Mn Ag In
3 1 1
Direct
0.500 0.000 0.000
0.000 0.000 0.500
0.000 0.500 0.000
0.000 0.000 0.000
0.500 0.500 0.500

=====

# 6
Mn2InAg PBE-GGA relaxed; DFT formation energy = 589 meV/atom; space-group type = No. 122
1.0
7.400 0.000 0.000
0.000 7.400 0.000
3.700 3.700 2.783
Mn Ag In
4 2 2
Direct
0.135 0.625 0.250
0.875 0.865 0.750
0.615 0.125 0.250
0.375 0.385 0.750
0.250 0.750 0.500
0.500 0.500 0.000
0.000 0.000 0.000
0.750 0.250 0.500

=====

# 7
Mn2InAg PBE-GGA relaxed; DFT formation energy = 401 meV/atom; space-group type = No. 166
1.0
9.255 -0.084 -0.049
8.790 2.900 -0.049
8.790 1.372 2.555
Mn Ag In
2 1 1
Direct
0.998 0.998 0.998
0.502 0.502 0.502
0.250 0.250 0.250
0.750 0.750 0.750

=====

# 8
MnInAg2 PBE-GGA relaxed; DFT formation energy = 148 meV/atom; space-group type = No. 25
1.0
-3.785 -2.820 0.249
1.766 -2.435 -0.732
0.914 -0.798 4.850
Ag Mn In
2 1 1
Direct
0.500 0.375 0.196
0.000 0.875 0.050
0.500 0.875 0.695
0.000 0.375 0.559

=====

# 9
MnInAg2 PBE-GGA relaxed; DFT formation energy = 340 meV/atom; space-group type = No. 122
1.0
3.983 0.000 0.000
0.000 3.983 0.000
1.991 1.991 9.997
In Ag Mn
2 4 2
Direct
0.750 0.250 0.500
0.000 0.000 0.000
0.620 0.125 0.250
0.130 0.625 0.250
0.875 0.870 0.750
0.375 0.380 0.750
0.250 0.750 0.500
0.500 0.500 0.000

=====

# 10
MnInAg2 PBE-GGA relaxed; DFT formation energy = 145 meV/atom; space-group type = No. 123
1.0
4.167 0.000 0.000
0.000 4.167 0.000
0.000 0.000 4.211
Ag In Mn
2 1 1
Direct
0.500 0.500 0.000
0.000 0.000 0.000
0.500 0.000 0.500
0.000 0.500 0.500

=====

# 11
MnInAg2 PBE-GGA relaxed; DFT formation energy = 136 meV/atom; space-group type = No. 119
1.0
4.887 -0.001 0.000
0.945 4.795 0.000
-2.916 -2.397 3.104
Ag Mn In
2 1 1
Direct
0.000 0.000 0.000
0.250 0.750 0.500
0.750 0.250 0.500
0.500 0.500 0.000

=====

# 12
MnInAg2 PBE-GGA relaxed; DFT formation energy = 134 meV/atom; space-group type = No. 12
1.0
5.106 -0.009 0.034
4.167 2.952 0.034
0.957 0.304 4.852
Ag Mn In
2 1 1
Direct
0.507 0.507 0.489
0.993 0.993 0.011
0.250 0.250 0.250
0.750 0.750 0.750

=====

# 13
MnInAg2 PBE-GGA relaxed; DFT formation energy = 119 meV/atom; space-group type = No. 139
1.0
-4.423 -2.006 0.019
-0.352 -1.258 -4.678
3.655 -1.155 2.983
Mn Ag In
1 2 1
Direct
0.750 0.250 0.500
0.500 0.500 0.000
0.000 0.000 0.000
0.250 0.750 0.500

=====

# 14
Mn2InAg PBE-GGA relaxed; DFT formation energy = 295 meV/atom; space-group type = No. 119
1.0
-4.848 0.226 -1.755
-3.540 -0.066 3.754
4.279 2.750 -0.870
Ag In Mn
1 1 2
Direct
0.500 0.500 0.000
0.750 0.250 0.500
0.250 0.750 0.500
0.000 0.000 0.000

=====

# 15
MnInAg2 PBE-GGA relaxed; DFT formation energy = 153 meV/atom; space-group type = No. 123
1.0
3.329 0.033 0.000
-0.033 3.329 0.000
0.000 0.000 6.727
Mn Ag In
1 2 1
Direct
0.500 0.500 0.750
0.000 0.000 0.973
0.000 0.000 0.527
0.500 0.500 0.250